# LiThAgIr GGA-PBE relaxed
# Formation energy (eV per formula unit): -1.03
# N(E_F) (states/eV/atom): 0.97
# Calculated density (g cm⁻³): 10.90
# Size of the total moment (μB/cell): 0.0
# VASP energy (eV per atom): -5.52
data_LiThAgIr
_chemical_formula_sum 'Li4 Th4 Ag4 Ir4'
_space_group_name_H-M_alt 'F -4 3 m'
_space_group_IT_number 216
_space_group_name_Hall 'F -4 2 3'
_cell_length_a 6.9005
_cell_length_b 6.9005
_cell_length_c 6.9005
_cell_angle_alpha 90.00
_cell_angle_beta 90.00
_cell_angle_gamma 90.00
loop_
_atom_site_label
_atom_site_fract_x
_atom_site_fract_y
_atom_site_fract_z
Li1 0.0000 0.0000 0.0000
Th1 0.0000 0.0000 0.5000
Ag1 0.2500 0.2500 0.7500
Ir1 0.2500 0.2500 0.2500